--- i ---
An optimized crystal structure of SrY2Ti, computed with GGA-PBE.

Cell: 5.605 5.605 5.605 Å, 60.00 60.00 60.00°
Each line ends with the local moment (μB).
Fractional positions:
Ti1 0.000 0.000 0.000  1.53
Y1 0.750 0.750 0.750  0.23
Y2 0.250 0.250 0.250  0.23
Sr1 0.500 0.500 0.500  0.03

Summary:
N(E_F) = 9.5 states/eV/cell
SG = No. 225

---

--- ii ---
An optimized crystal structure of SrY2Ti, computed with GGA-PBE.

Cell: 8.802 8.802 7.091 Å, 51.64 51.64 90.00°
Each line ends with the local moment (μB).
Fractional positions:
Ti1 0.500 0.500 0.000  1.71
Ti2 0.250 0.750 0.500  1.71
Y1 0.588 0.625 0.250  0.37
Y2 0.875 0.412 0.750  0.37
Y3 0.375 0.838 0.750  0.37
Y4 0.162 0.125 0.250  0.37
Sr1 0.000 0.000 0.000  0.08
Sr2 0.750 0.250 0.500  0.08

Summary:
N(E_F) = 8.5 states/eV/cell
SG = No. 122

---

Which structure above is the least stable? It is ii.